Entry 1:
First-principles (GGA-PBE) data for crystalline InGa2Pb at its relaxed geometry, as listed in Alexandria.

The structure in POSCAR format:
```
InGa2Pb
1.0
0.000 3.683 3.683
3.683 0.000 3.683
3.683 3.683 0.000
In Ga Pb
1 2 1
direct
0.000 0.000 0.000 In
0.250 0.250 0.250 Ga
0.750 0.750 0.750 Ga
0.500 0.500 0.500 Pb
```

Computed properties:
- Polymorph energy (0 for the lowest one): 0.021 eV per atom
- ΔE_f: 0.0646 eV/atom
- SG: No. 225


Entry 2:
First-principles (GGA-PBE) data for crystalline U2MnGa at its relaxed geometry, as listed in Alexandria.

The structure in POSCAR format:
```
U2MnGa
1.0
3.508 0.000 0.000
0.000 3.508 0.000
0.000 0.000 6.126
U Mn Ga
2 1 1
direct
0.000 0.000 0.202 U
0.000 0.000 0.798 U
0.500 0.500 0.000 Mn
0.500 0.500 0.500 Ga
```

Computed properties:
- Polymorph energy (0 for the lowest one): 0.121 eV per atom
- ΔE_f: 0.0984 eV/atom
- SG: No. 123


Entry 3:
First-principles (GGA-PBE) data for crystalline As2PbAu at its relaxed geometry, as listed in Alexandria.

The structure in POSCAR format:
```
As2PbAu
1.0
5.820 -1.865 0.000
5.820 1.865 0.000
-1.457 0.000 4.562
As Pb Au
2 1 1
direct
0.230 0.230 0.156 As
0.770 0.770 0.844 As
0.500 0.500 0.500 Pb
0.000 0.000 0.000 Au
```

Computed properties:
- ΔE_f: -0.0610 eV/atom
- SG: No. 12


Entry 4:
First-principles (GGA-PBE) data for crystalline SmTeS3 at its relaxed geometry, as listed in Alexandria.

The structure in POSCAR format:
```
SmTeS3
1.0
7.034 0.000 0.000
0.000 7.417 0.000
-4.963 0.000 9.976
Sm Te S
4 4 12
direct
0.189 0.123 0.221 Sm
0.189 0.377 0.721 Sm
0.811 0.623 0.279 Sm
0.811 0.877 0.779 Sm
0.172 0.622 0.093 Te
0.172 0.878 0.593 Te
0.828 0.122 0.407 Te
0.828 0.378 0.907 Te
0.121 0.164 0.939 S
0.121 0.336 0.439 S
0.217 0.683 0.892 S
0.217 0.817 0.392 S
0.500 0.119 0.777 S
0.500 0.381 0.277 S
0.500 0.619 0.723 S
0.500 0.881 0.223 S
0.783 0.183 0.608 S
0.783 0.317 0.108 S
0.879 0.664 0.561 S
0.879 0.836 0.061 S
```

Computed properties:
- SG: No. 14
- E_form (uncorrected): -0.84 eV/atom


Entry 5:
First-principles (GGA-PBE) data for crystalline K3Si at its relaxed geometry, as listed in Alexandria.

The structure in POSCAR format:
```
K3Si
1.0
7.864 0.000 0.000
-3.932 6.811 0.000
0.000 0.000 12.122
K Si
12 4
direct
0.000 0.500 0.000 K
0.000 0.500 0.500 K
0.147 0.294 0.250 K
0.147 0.853 0.250 K
0.294 0.147 0.750 K
0.500 0.000 0.000 K
0.500 0.000 0.500 K
0.500 0.500 0.000 K
0.500 0.500 0.500 K
0.706 0.853 0.250 K
0.853 0.147 0.750 K
0.853 0.706 0.750 K
0.000 0.000 0.000 Si
0.000 0.000 0.500 Si
0.333 0.667 0.750 Si
0.667 0.333 0.250 Si
```

Computed properties:
- Polymorph energy (0 for the lowest one): 0.268 eV per atom
- SG: No. 194
- E_form (uncorrected): 0.34 eV/atom


Entry 6:
First-principles (GGA-PBE) data for crystalline Li2SbW at its relaxed geometry, as listed in Alexandria.

The structure in POSCAR format:
```
Li2SbW
1.0
3.963 0.000 0.000
0.000 3.963 0.000
0.000 0.000 4.156
Li Sb W
2 1 1
direct
0.000 0.500 0.000 Li
0.500 0.000 0.000 Li
0.000 0.000 0.500 Sb
0.500 0.500 0.500 W
```

Computed properties:
- SG: No. 123
- E_form (uncorrected): 0.34 eV/atom